A plane-wave DFT calculation with PBE was carried out for crystalline BaRu4 at its relaxed geometry.

DFT formation energy: 3.05 eV/atom
Volume: 23.8 Å³/atom
Density: 7.5 g cm⁻³
Total DFT energy (no corrections): -4.76 eV/atom
SG: Pm-3m

a b c (Å): 4.9209 4.9209 4.9209
angles (deg): 90.00 90.00 90.00
Last column: nearest neighbours and their distance in Å.
Positions (direct):
1 Ru 0.0000 0.0000 0.0000  12 Ru 3.48
2 Ru 0.5000 0.0000 0.5000  2 Ba 2.46
3 Ru 0.0000 0.5000 0.5000  2 Ba 2.46
4 Ru 0.5000 0.5000 0.0000  2 Ba 2.46
5 Ba 0.5000 0.5000 0.5000  6 Ru 2.46